Density functional theory data (GGA-PBE) for an optimized crystal structure of BaSrCo3.

Cell lengths 4.0729, 4.0729, 9.0365 Å; angles 90.00, 90.00, 120.00 degrees
Fractional positions:
Ba1 0.0000 0.0000 0.0000
Sr1 0.6667 0.3333 0.4353
Co1 0.0000 0.0000 0.6743
Co2 0.3333 0.6667 0.7090
Co3 0.6667 0.3333 0.7489

Computed properties:
* E: -24.36 eV for the cell shown
* density: 5.14 g/cm³